# 1
The following is a PBE-GGA calculation of crystalline SrScGa at its relaxed geometry, from the Alexandria database.

Cell and atoms, written as POSCAR:
```
SrScGa
1.0
5.612 0.000 -0.002
-1.281 6.428 -0.004
1.863 2.533 4.650
Ga Sc Sr
2 2 2
Direct
0.012 0.539 0.009 Ga
0.425 0.539 0.596 Ga
0.542 0.661 0.005 Sc
0.894 0.417 0.600 Sc
0.017 0.997 0.143 Sr
0.420 0.081 0.462 Sr
```

Calculated values
**Calculated total energy**: -3.891 eV per atom
**Total magnetic moment**: 0.00 μB per cell
**Energy above the lowest structure with this stoichiometry**: 0.53 eV/f.u.
**Formation energy from the elements**: -0.211 eV per atom

***

# 2
The following is a PBE-GGA calculation of crystalline NaBiBr2 at its relaxed geometry, from the Alexandria database.

Cell and atoms, written as POSCAR:
```
NaBiBr2
1.0
-1.108 -3.923 3.633
0.654 0.957 5.337
-4.366 0.442 3.250
Bi Br Na
1 2 1
Direct
0.500 0.500 0.500 Bi
0.250 0.250 0.250 Br
0.750 0.750 0.750 Br
0.000 0.000 0.000 Na
```

Calculated values
**Calculated total energy**: -2.586 eV per atom
**Total magnetic moment**: 0.00 μB per cell
**Energy above the lowest structure with this stoichiometry**: 1.65 eV/f.u.
**Formation energy (no corrections)**: -450 meV per atom

***

# 3
The following is a PBE-GGA calculation of crystalline YCoHg at its relaxed geometry, from the Alexandria database.

Cell and atoms, written as POSCAR:
```
YCoHg
1.0
-0.880 3.326 4.356
-0.078 0.157 5.548
3.078 1.195 1.100
Co Y Hg
1 1 1
Direct
0.997 0.997 0.003 Co
0.652 0.652 0.348 Y
0.351 0.351 0.649 Hg
```

Calculated values
**Calculated total energy**: -4.702 eV per atom
**Total magnetic moment**: 0.76 μB per cell
**Formation energy from the elements**: -0.078 eV per atom

***

# 4
The following is a PBE-GGA calculation of crystalline SrVMoCl2 at its relaxed geometry, from the Alexandria database.

Cell and atoms, written as POSCAR:
```
SrVMoCl2
1.0
4.626 0.000 0.000
0.000 6.936 0.000
0.000 0.000 4.626
Sr Mo V Cl
1 1 1 2
Direct
0.000 0.500 0.000 Sr
0.500 0.500 0.500 Mo
0.000 0.000 0.000 V
0.000 0.000 0.500 Cl
0.500 0.000 0.000 Cl
```

Calculated values
**Calculated total energy**: -4.383 eV per atom
**Total magnetic moment**: 4.89 μB per cell
**Formation energy (no corrections)**: 682 meV per atom

***

# 5
The following is a PBE-GGA calculation of crystalline PuNiPbAu at its relaxed geometry, from the Alexandria database.

Cell and atoms, written as POSCAR:
```
PuNiPbAu
1.0
4.935 0.000 0.000
2.468 4.274 0.000
2.468 1.425 4.030
Ni Au Pu Pb
1 1 1 1
Direct
0.250 0.250 0.250 Ni
0.750 0.750 0.750 Au
0.000 0.000 0.000 Pu
0.500 0.500 0.500 Pb
```

Calculated values
**Calculated total energy**: -6.845 eV per atom
**Total magnetic moment**: 5.00 μB per cell
**Formation energy from the elements**: -0.070 eV per atom

***

# 6
The following is a PBE-GGA calculation of crystalline Ga3CoAu at its relaxed geometry, from the Alexandria database.

Cell and atoms, written as POSCAR:
```
Ga3CoAu
1.0
3.916 0.002 0.929
1.905 8.988 0.678
-0.113 0.418 9.202
Au Ga Co
4 12 4
Direct
0.009 0.648 0.832 Au
0.509 0.832 0.648 Au
0.491 0.168 0.352 Au
0.991 0.352 0.168 Au
0.860 0.641 0.139 Ga
0.350 0.490 0.309 Ga
0.650 0.510 0.691 Ga
0.360 0.139 0.641 Ga
0.850 0.309 0.490 Ga
0.640 0.861 0.359 Ga
0.865 0.970 0.800 Ga
0.635 0.200 0.030 Ga
0.135 0.030 0.200 Ga
0.150 0.691 0.510 Ga
0.140 0.359 0.861 Ga
0.365 0.800 0.970 Ga
0.750 0.922 0.078 Co
0.250 0.078 0.922 Co
0.750 0.240 0.760 Co
0.250 0.760 0.240 Co
```

Calculated values
**Calculated total energy**: -4.072 eV per atom
**Total magnetic moment**: 0.00 μB per cell
**Energy above the lowest structure with this stoichiometry**: 0.00 eV/f.u.
**Formation energy from the elements**: -0.179 eV per atom

***

# 7
The following is a PBE-GGA calculation of crystalline MnHgTe2N at its relaxed geometry, from the Alexandria database.

Cell and atoms, written as POSCAR:
```
MnHgTe2N
1.0
5.508 0.000 0.000
0.000 5.508 0.000
0.000 0.000 3.490
Te Mn Hg N
2 1 1 1
Direct
0.500 0.000 0.000 Te
0.000 0.500 0.000 Te
0.000 0.000 0.000 Mn
0.500 0.500 0.500 Hg
0.000 0.000 0.500 N
```

Calculated values
**Calculated total energy**: -4.619 eV per atom
**Total magnetic moment**: 1.31 μB per cell
**Energy above the lowest structure with this stoichiometry**: 0.00 eV/f.u.
**Formation energy (no corrections)**: 197 meV per atom

***

# 8
The following is a PBE-GGA calculation of crystalline YI3 at its relaxed geometry, from the Alexandria database.

Cell and atoms, written as POSCAR:
```
YI3
1.0
3.999 0.000 0.000
0.000 7.901 0.000
-1.999 -3.950 6.408
Y I
1 3
Direct
0.000 0.042 0.000 Y
0.343 0.738 0.686 I
0.657 0.052 0.314 I
0.500 0.335 0.000 I
```

Calculated values
**Calculated total energy**: -4.140 eV per atom
**Total magnetic moment**: 0.00 μB per cell
**Formation energy (no corrections)**: -1362 meV per atom

***

# 9
The following is a PBE-GGA calculation of crystalline ReAs2Pb at its relaxed geometry, from the Alexandria database.

Cell and atoms, written as POSCAR:
```
ReAs2Pb
1.0
-1.736 -0.760 4.536
3.755 0.045 1.444
-0.265 3.975 0.565
As Pb Re
2 1 1
Direct
0.000 0.500 0.500 As
0.000 0.000 0.000 As
0.500 0.500 0.000 Pb
0.500 0.000 0.500 Re
```

Calculated values
**Calculated total energy**: -5.375 eV per atom
**Total magnetic moment**: 0.81 μB per cell
**Formation energy from the elements**: 0.989 eV per atom

***

# 10
The following is a PBE-GGA calculation of crystalline CePm7Pb5 at its relaxed geometry, from the Alexandria database.

Cell and atoms, written as POSCAR:
```
CePm7Pb5
1.0
-0.591 6.385 1.882
-7.634 1.737 3.575
2.928 1.419 7.968
Pb Ce Pm
5 1 7
Direct
0.524 0.998 0.467 Pb
0.524 0.467 0.998 Pb
0.012 0.467 0.998 Pb
0.766 0.734 0.734 Pb
0.012 0.998 0.467 Pb
0.932 0.068 0.068 Ce
0.524 0.144 0.809 Pm
0.524 0.809 0.144 Pm
0.616 0.384 0.384 Pm
0.010 0.324 0.656 Pm
0.010 0.656 0.324 Pm
0.280 0.720 0.720 Pm
0.268 0.232 0.232 Pm
```

Calculated values
**Calculated total energy**: -4.731 eV per atom
**Total magnetic moment**: 1.67 μB per cell
**Formation energy from the elements**: -0.291 eV per atom

***

# 11
The following is a PBE-GGA calculation of crystalline U2Tc2Sb at its relaxed geometry, from the Alexandria database.

Cell and atoms, written as POSCAR:
```
U2Tc2Sb
1.0
-4.175 0.421 -1.769
-2.661 -5.107 -0.797
-3.453 1.391 2.620
Sb U Tc
1 2 2
Direct
0.000 0.000 0.000 Sb
0.605 0.593 0.198 U
0.395 0.407 0.802 U
0.802 0.796 0.599 Tc
0.198 0.204 0.401 Tc
```

Calculated values
**Calculated total energy**: -9.646 eV per atom
**Total magnetic moment**: 2.27 μB per cell
**Formation energy (no corrections)**: -160 meV per atom

***

# 12
The following is a PBE-GGA calculation of crystalline Li3Tl2Rh2 at its relaxed geometry, from the Alexandria database.

Cell and atoms, written as POSCAR:
```
Li3Tl2Rh2
1.0
-1.480 1.016 4.116
-1.712 -3.528 -2.188
6.323 -3.486 0.685
Tl Rh Li
2 2 3
Direct
0.155 0.578 0.733 Tl
0.845 0.422 0.267 Tl
0.572 0.286 0.858 Rh
0.428 0.714 0.142 Rh
0.286 0.143 0.429 Li
0.714 0.857 0.571 Li
0.000 0.000 0.000 Li
```

Calculated values
**Calculated total energy**: -3.763 eV per atom
**Total magnetic moment**: 0.00 μB per cell
**Formation energy from the elements**: -0.167 eV per atom

***

Number 11 is which compound?
U2Tc2Sb

***

Number 6 is which compound?
Ga3CoAu